[1]
## Ba5NdCd6 (PBE-GGA)

Data for Ba5NdCd6 after structural relaxation.

POSCAR file:
```
Ba5NdCd6
1.0
-1.9362 2.9346 -4.7529
3.9518 -5.4116 -4.9511
-6.2591 -6.3654 -5.0480
Ba Cd Nd
5 6 1
Direct
0.0000 0.5000 0.0000 Ba
0.6628 0.6622 0.6756 Ba
0.3372 0.3378 0.3244 Ba
0.3231 0.8242 0.3516 Ba
0.6769 0.1758 0.6484 Ba
0.5000 0.2108 0.0000 Cd
0.5000 0.7892 0.0000 Cd
0.8425 0.6154 0.3123 Cd
0.1575 0.3846 0.6877 Cd
0.8425 0.0723 0.3123 Cd
0.1575 0.9277 0.6877 Cd
0.0000 0.0000 0.0000 Nd
```

Properties
Calculated volume (Å³/atom): 36.5
DOS at the Fermi energy (states/eV/f.u.): 8.09
Electronic total energy (eV per atom): -1.955


[2]
## SrMg2P (PBE-GGA)

Data for SrMg2P after structural relaxation.

POSCAR file:
```
SrMg2P
1.0
6.0942 -0.1676 0.0000
-3.0441 5.2821 0.0000
0.0000 0.0000 3.3420
Mg P Sr
2 1 1
Direct
0.5000 0.5000 0.0000 Mg
0.0000 0.0000 0.0000 Mg
0.5000 0.0000 0.5000 P
0.0000 0.5000 0.5000 Sr
```

Properties
Calculated volume (Å³/atom): 26.5
DOS at the Fermi energy (states/eV/f.u.): 2.20
Electronic total energy (eV per atom): -2.477


[3]
## RbSrEu4 (PBE-GGA)

Data for RbSrEu4 after structural relaxation.

POSCAR file:
```
RbSrEu4
1.0
-2.8136 6.3442 3.1907
-5.3196 4.0802 -3.6605
-7.1844 0.1085 2.5920
Eu Sr Rb
4 1 1
Direct
0.6257 0.1229 0.6257 Eu
0.1229 0.6257 0.6257 Eu
0.6257 0.6257 0.6257 Eu
0.6257 0.6257 0.1229 Eu
0.0000 0.0000 0.0000 Sr
0.2500 0.2500 0.2500 Rb
```

Properties
Calculated volume (Å³/atom): 52.5
DOS at the Fermi energy (states/eV/f.u.): 32.74
Electronic total energy (eV per atom): -7.128


[4]
## Ba8Ag2Rh3 (PBE-GGA)

Data for Ba8Ag2Rh3 after structural relaxation.

POSCAR file:
```
Ba8Ag2Rh3
1.0
7.8920 0.0214 0.0409
0.0513 7.9919 3.9908
0.0483 0.2143 8.9318
Ba Rh Ag
8 3 2
Direct
0.6703 0.8711 0.3514 Ba
0.3297 0.6486 0.1289 Ba
0.3297 0.1289 0.6486 Ba
0.8336 0.8903 0.8903 Ba
0.1664 0.1097 0.1097 Ba
0.8611 0.3847 0.3847 Ba
0.6703 0.3514 0.8711 Ba
0.1389 0.6153 0.6153 Ba
0.5000 0.0000 0.0000 Rh
0.0000 0.7422 0.2578 Rh
0.0000 0.2578 0.7422 Rh
0.5015 0.2548 0.2548 Ag
0.4985 0.7452 0.7452 Ag
```

Properties
Calculated volume (Å³/atom): 42.8
DOS at the Fermi energy (states/eV/f.u.): 9.10
Electronic total energy (eV per atom): -3.481


[5]
## Na3TcTe (PBE-GGA)

Data for Na3TcTe after structural relaxation.

POSCAR file:
```
Na3TcTe
1.0
-1.8601 -3.6783 4.1345
4.4115 -3.6190 -1.2349
3.3409 2.7307 3.9325
Na Tc Te
3 1 1
Direct
0.0000 0.5000 0.0000 Na
0.0000 0.0000 0.5000 Na
0.5000 0.0000 0.0000 Na
0.5000 0.5000 0.5000 Tc
0.0000 0.0000 0.0000 Te
```

Properties
Calculated volume (Å³/atom): 39.8
DOS at the Fermi energy (states/eV/f.u.): 4.93
Polymorph energy (0 for the lowest one) (eV per formula unit): 0.00


[6]
## CaAlAs2 (PBE-GGA)

Data for CaAlAs2 after structural relaxation.

POSCAR file:
```
CaAlAs2
1.0
4.9869 0.0000 0.0000
2.4935 4.3188 0.0000
2.4935 1.4396 4.0718
As Ca Al
2 1 1
Direct
0.7500 0.7500 0.7500 As
0.0000 0.0000 0.0000 As
0.2500 0.2500 0.2500 Ca
0.5000 0.5000 0.5000 Al
```

Properties
Calculated volume (Å³/atom): 21.9
DOS at the Fermi energy (states/eV/f.u.): 4.06
Polymorph energy (0 for the lowest one) (eV per formula unit): 2.31


[7]
## Cr2CuAg2 (PBE-GGA)

Data for Cr2CuAg2 after structural relaxation.

POSCAR file:
```
Cr2CuAg2
1.0
3.7953 0.0000 0.0000
0.0000 3.7953 0.0000
1.8977 1.8977 5.7401
Cr Ag Cu
2 2 1
Direct
0.4234 0.4234 0.1532 Cr
0.5766 0.5766 0.8468 Cr
0.2500 0.7500 0.5000 Ag
0.7500 0.2500 0.5000 Ag
0.0000 0.0000 0.0000 Cu
```

Properties
Calculated volume (Å³/atom): 16.5
DOS at the Fermi energy (states/eV/f.u.): 2.96
Polymorph energy (0 for the lowest one) (eV per formula unit): 0.27


[8]
## Rb3HgSe (PBE-GGA)

Data for Rb3HgSe after structural relaxation.

POSCAR file:
```
Rb3HgSe
1.0
6.6503 0.0000 0.0000
0.0000 6.6503 0.0000
0.0000 0.0000 6.6503
Rb Hg Se
3 1 1
Direct
0.5000 0.0000 0.0000 Rb
0.0000 0.0000 0.5000 Rb
0.0000 0.5000 0.0000 Rb
0.5000 0.5000 0.5000 Hg
0.0000 0.0000 0.0000 Se
```

Properties
Calculated volume (Å³/atom): 58.8
DOS at the Fermi energy (states/eV/f.u.): 5.39
Polymorph energy (0 for the lowest one) (eV per formula unit): 0.00


[9]
## Ca2AsHPd (PBE-GGA)

Data for Ca2AsHPd after structural relaxation.

POSCAR file:
```
Ca2AsHPd
1.0
5.0479 0.0000 0.0000
0.0000 5.0479 0.0000
0.0000 0.0000 3.6697
Pd As Ca H
1 1 2 1
Direct
0.0000 0.0000 0.5000 Pd
0.5000 0.5000 0.5000 As
0.5000 0.0000 0.0000 Ca
0.0000 0.5000 0.0000 Ca
0.0000 0.0000 0.0000 H
```

Properties
Calculated volume (Å³/atom): 18.7
DOS at the Fermi energy (states/eV/f.u.): 0.93
Electronic total energy (eV per atom): -4.237


[10]
## PbCClO2 (PBE-GGA)

Data for PbCClO2 after structural relaxation.

POSCAR file:
```
PbCClO2
1.0
4.2685 -0.0004 0.0255
0.0418 4.2683 0.0255
0.6317 0.6254 9.5916
Cl Pb O C
2 2 4 2
Direct
0.7256 0.7256 0.1154 Cl
0.2744 0.2744 0.8846 Cl
0.7435 0.7435 0.7771 Pb
0.2565 0.2565 0.2229 Pb
0.6742 0.2196 0.3915 O
0.2196 0.6742 0.3915 O
0.7804 0.3258 0.6085 O
0.3258 0.7804 0.6085 O
0.3704 0.6296 0.5000 C
0.6296 0.3704 0.5000 C
```

Properties
Calculated volume (Å³/atom): 17.5
DOS at the Fermi energy (states/eV/f.u.): 0.00
Electronic total energy (eV per atom): -6.126


[11]
## SmDy6Ho6 (PBE-GGA)

Data for SmDy6Ho6 after structural relaxation.

POSCAR file:
```
SmDy6Ho6
1.0
-2.9038 3.5233 -4.7836
-2.1850 -6.0770 1.4227
-7.2292 4.3823 7.6161
Dy Ho Sm
6 6 1
Direct
0.3333 0.6667 0.0000 Dy
0.0000 0.0000 0.3483 Dy
0.3334 0.6666 0.5000 Dy
0.6667 0.3333 0.0000 Dy
0.0000 0.0000 0.6517 Dy
0.6666 0.3334 0.5000 Dy
0.0000 0.5000 0.7556 Ho
0.5000 0.5000 0.2443 Ho
0.5000 0.0000 0.7556 Ho
0.5000 0.5000 0.7557 Ho
0.5000 0.0000 0.2444 Ho
0.0000 0.5000 0.2444 Ho
0.0000 0.0000 0.0000 Sm
```

Properties
Calculated volume (Å³/atom): 33.1
DOS at the Fermi energy (states/eV/f.u.): 25.52
Electronic total energy (eV per atom): -4.317


[12]
## TaH3Cl (PBE-GGA)

Data for TaH3Cl after structural relaxation.

POSCAR file:
```
TaH3Cl
1.0
-0.9560 -3.5262 0.7829
2.6909 -1.2356 -2.2789
2.4096 -0.0192 2.8556
Ta H Cl
1 3 1
Direct
0.0000 0.0000 0.0000 Ta
0.0000 0.5000 0.0000 H
0.0000 0.0000 0.5000 H
0.5000 0.0000 0.0000 H
0.5000 0.5000 0.5000 Cl
```

Properties
Calculated volume (Å³/atom): 10.4
DOS at the Fermi energy (states/eV/f.u.): 2.43
Polymorph energy (0 for the lowest one) (eV per formula unit): 0.00